Compound: CsTe3As2
Source: the Alexandria database
Functional: GGA-PBE
Structure: optimized geometry

Summary:
Offset from the most stable computed form   0.000 eV/atom
E_form (uncorrected)   -4.55 kcal/mol of atoms
DOS(E_F)   1.31 states/eV/cell
Calculated volume   39.64 A^3/atom

Lattice parameters (Å, degrees): 12.3507 12.3507 8.0642 98.02 98.02 22.99
Last column: nearest neighbours and their distance in Å.
Atoms (fractional coordinates):
Cs1 0.1141 0.1141 0.4013  3 As 3.84-4.29, 7 Te 3.91-4.11
Cs2 0.8859 0.8859 0.5987  3 As 3.84-4.29, 7 Te 3.91-4.11
Te1 0.1273 0.1273 0.9054  3 As 2.66-2.75
Te2 0.2703 0.2703 0.3292  2 As 2.85
Te3 0.4992 0.4992 0.8210  1 As 2.62, 1 Te 2.88
Te4 0.5008 0.5008 0.1790  1 As 2.62, 1 Te 2.88
Te5 0.7297 0.7297 0.6708  2 As 2.85
Te6 0.8727 0.8727 0.0946  3 As 2.66-2.75
As1 0.2332 0.2332 0.8492  3 Te 2.66-2.85
As2 0.3971 0.3971 0.2388  3 Te 2.62-2.75
As3 0.6029 0.6029 0.7612  3 Te 2.62-2.75
As4 0.7668 0.7668 0.1508  3 Te 2.66-2.85

Compound: CsTe4As4
Source: the Alexandria database
Functional: GGA-PBE
Structure: optimized geometry

Summary:
E_form (uncorrected)   -0.67 kcal/mol of atoms
DOS(E_F)   6.00 states/eV/cell
Calculated volume   35.73 A^3/atom

Lattice parameters (Å, degrees): 10.5080 10.5080 5.8243 90.00 90.00 90.00
Last column: nearest neighbours and their distance in Å.
Atoms (fractional coordinates):
Cs1 0.2500 0.2500 0.2500  8 As 4.13-4.28, 8 Te 4.42-4.45
Cs2 0.7500 0.7500 0.7500  8 As 4.13-4.28, 8 Te 4.42-4.45
Te1 0.1051 0.6392 0.1029  2 As 2.62-2.75
Te2 0.1392 0.8949 0.6029  2 As 2.62-2.75
Te3 0.3608 0.6051 0.6029  2 As 2.62-2.75
Te4 0.3949 0.8608 0.1029  2 As 2.62-2.75
Te5 0.6051 0.1392 0.8971  2 As 2.62-2.75
Te6 0.6392 0.3949 0.3971  2 As 2.62-2.75
Te7 0.8608 0.1051 0.3971  2 As 2.62-2.75
Te8 0.8949 0.3608 0.8971  2 As 2.62-2.75
As1 0.0107 0.9394 0.1985  2 Te 2.62-2.75, 1 As 2.65
As2 0.0606 0.5107 0.6985  2 Te 2.62-2.75, 1 As 2.65
As3 0.4394 0.9893 0.6985  2 Te 2.62-2.75, 1 As 2.65
As4 0.4893 0.5606 0.1985  2 Te 2.62-2.75, 1 As 2.65
As5 0.5107 0.4394 0.8015  2 Te 2.62-2.75, 1 As 2.65
As6 0.5606 0.0107 0.3015  2 Te 2.62-2.75, 1 As 2.65
As7 0.9394 0.4893 0.3015  2 Te 2.62-2.75, 1 As 2.65
As8 0.9893 0.0606 0.8015  2 Te 2.62-2.75, 1 As 2.65

Compound: Cs5Te6As
Source: the Alexandria database
Functional: GGA-PBE
Structure: optimized geometry

Summary:
E_form (uncorrected)   -11.74 kcal/mol of atoms
DOS(E_F)   4.13 states/eV/cell
Calculated volume   50.11 A^3/atom

Lattice parameters (Å, degrees): 8.8803 8.8803 10.1011 100.11 100.11 125.24
Last column: nearest neighbours and their distance in Å.
Atoms (fractional coordinates):
Cs1 0.0000 0.0000 0.0000  4 Te 3.77
Cs2 0.1556 0.8444 0.5000  6 Te 3.88-4.01
Cs3 0.3045 0.6955 0.0000  6 Te 3.84-4.07
Cs4 0.6955 0.3045 0.0000  6 Te 3.84-4.07
Cs5 0.8444 0.1556 0.5000  6 Te 3.88-4.01
Te1 0.1849 0.4578 0.2890  1 As 2.99, 1 Te 3.31
Te2 0.3880 0.3880 0.7416  1 As 2.91
Te3 0.4578 0.1849 0.2890  1 As 2.99, 1 Te 3.31
Te4 0.5422 0.8151 0.7110  1 As 2.99, 1 Te 3.31
Te5 0.6120 0.6120 0.2584  1 As 2.91
Te6 0.8151 0.5422 0.7110  1 As 2.99, 1 Te 3.31
As1 0.5000 0.5000 0.5000  6 Te 2.91-2.99

no.,magnetic moment (μB/f.u.)
1,0.000
2,0.000
3,4.003